(1)
Material: Ac6CoBr3N2
Method: DFT, PBE
State: relaxed

Cell and atoms, written as POSCAR:
```
Ac6CoBr3N2
1.0
3.424 -6.231 0.000
3.424 6.231 0.000
-2.200 0.000 8.058
Ac Co Br N
6 1 3 2
Direct
0.072 0.419 0.813
0.229 0.229 0.185
0.419 0.072 0.813
0.581 0.928 0.187
0.771 0.771 0.815
0.928 0.581 0.187
0.500 0.500 0.000
0.000 0.000 0.500
0.341 0.659 0.500
0.659 0.341 0.500
0.161 0.839 0.000
0.839 0.161 0.000
```

Computed properties:
Energy = -5.473 eV/atom
SG = C2/m (12)
Formation energy (no corrections) = -1021 meV per atom

(2)
Material: LiZrOF2
Method: DFT, PBE
State: relaxed

Cell and atoms, written as POSCAR:
```
LiZrOF2
1.0
3.410 0.000 0.000
0.000 3.410 0.000
0.000 0.000 4.175
Li Zr O F
1 1 1 2
Direct
0.000 0.000 0.000
0.500 0.500 0.500
0.000 0.000 0.500
0.000 0.500 0.000
0.500 0.000 0.000
```

Computed properties:
Energy = -6.286 eV/atom
SG = P4/mmm (123)
Formation energy (no corrections) = -2453 meV per atom
Excess energy over the best structure of this formula in the dataset = 0.137 eV per atom

(3)
Material: ZrSn3Ge
Method: DFT, PBE
State: relaxed

Cell and atoms, written as POSCAR:
```
ZrSn3Ge
1.0
5.242 0.000 0.000
0.000 5.242 0.000
0.000 0.000 5.242
Zr Sn Ge
1 3 1
Direct
0.000 0.000 0.000
0.000 0.500 0.500
0.500 0.000 0.500
0.500 0.500 0.000
0.500 0.500 0.500
```

Computed properties:
Energy = -4.302 eV/atom
SG = Pm-3m (221)
Energy relative to the elements = 733 meV per atom
Excess energy over the best structure of this formula in the dataset = 0.145 eV per atom

(4)
Material: Cs2TlIn
Method: DFT, PBE
State: relaxed

Cell and atoms, written as POSCAR:
```
Cs2TlIn
1.0
-5.386 5.386 3.686
5.386 -5.386 3.686
5.386 5.386 -3.686
Cs Tl In
4 2 2
Direct
0.123 0.625 0.998
0.375 0.373 0.498
0.627 0.125 0.002
0.875 0.877 0.502
0.000 0.000 0.000
0.750 0.250 0.500
0.250 0.750 0.500
0.500 0.500 0.000
```

Computed properties:
Energy = -1.484 eV/atom
SG = I-42d (122)
Energy relative to the elements = 219 meV per atom
Excess energy over the best structure of this formula in the dataset = 0.266 eV per atom

(5)
Material: Pm3Ho6Tm2Zr
Method: DFT, PBE
State: relaxed

Cell and atoms, written as POSCAR:
```
Pm3Ho6Tm2Zr
1.0
3.051 -5.275 0.000
3.051 5.275 0.000
-2.018 0.000 11.455
Pm Ho Tm Zr
3 6 2 1
Direct
0.000 0.000 0.000
0.334 0.666 0.000
0.666 0.334 0.000
0.093 0.420 0.259
0.253 0.253 0.741
0.420 0.093 0.259
0.580 0.907 0.741
0.747 0.747 0.259
0.907 0.580 0.741
0.167 0.833 0.500
0.833 0.167 0.500
0.500 0.500 0.500
```

Computed properties:
Energy = -4.892 eV/atom
SG = C2/m (12)
Energy relative to the elements = 42 meV per atom

(6)
Material: Ho3Tc
Method: DFT, PBE
State: relaxed

Cell and atoms, written as POSCAR:
```
Ho3Tc
1.0
-1.801 5.335 2.655
1.801 -5.335 2.655
1.801 5.335 -2.655
Ho Tc
3 1
Direct
0.000 0.000 0.000
0.299 0.500 0.799
0.701 0.500 0.201
0.501 0.001 0.500
```

Computed properties:
Energy = -6.025 eV/atom
SG = Imm2 (44)
Energy relative to the elements = 0 meV per atom

no.,M_tot (μB per cell)
1,0.01
2,0.00
3,1.15
4,0.00
5,0.00
6,0.00